{"formula": "Tl2CuAuBr6", "functional": "PBE-GGA", "state": "relaxed", "crystal_system": "cubic", "e_tot_ev_per_fu": -26.142, "lattice_angstrom": [[1.486, -4.781, 5.511], [-3.356, 0.769, 6.602], [-5.157, -4.921, 2.151]], "species": ["Br", "Br", "Br", "Tl", "Br", "Tl", "Br", "Cu", "Au", "Br"], "fractional_positions": [[0.244, 0.756, 0.244], [0.244, 0.756, 0.756], [0.756, 0.756, 0.244], [0.750, 0.750, 0.750], [0.244, 0.244, 0.756], [0.250, 0.250, 0.250], [0.756, 0.244, 0.756], [0.000, 0.000, 0.000], [0.500, 0.500, 0.500], [0.756, 0.244, 0.244]]}


{"formula": "PmZnPO", "functional": "PBE-GGA", "state": "relaxed", "crystal_system": "tetragonal", "e_tot_ev_per_fu": -23.630, "lattice_angstrom": [[3.962, 0.000, 0.000], [0.000, 3.962, 0.000], [0.000, 0.000, 8.777]], "species": ["Zn", "Pm", "P", "O", "O", "Pm", "Zn", "P"], "fractional_positions": [[0.750, 0.250, 0.500], [0.750, 0.750, 0.865], [0.750, 0.750, 0.330], [0.250, 0.750, 0.000], [0.750, 0.250, 0.000], [0.250, 0.250, 0.135], [0.250, 0.750, 0.500], [0.250, 0.250, 0.670]]}


{"formula": "K3AgO2", "functional": "PBE-GGA", "state": "relaxed", "crystal_system": "orthorhombic", "e_tot_ev_per_fu": -21.774, "lattice_angstrom": [[-12.082, -2.470, 0.295], [2.042, -10.693, -5.915], [1.567, -6.253, 11.844]], "species": ["O", "K", "K", "K", "O", "K", "K", "K", "Ag", "O", "K", "Ag", "O", "O", "O", "O", "Ag", "K", "O", "K", "Ag", "K", "K", "K", "O", "K", "O", "K", "O", "K", "K", "K", "Ag", "O", "K", "O", "O", "Ag", "O", "O", "K", "K", "K", "O", "K", "K", "K", "Ag", "O", "K", "K", "K", "O", "K", "O", "K", "O", "Ag", "K", "K", "Ag", "K", "K", "K", "K", "K", "O", "O", "Ag", "Ag", "K", "O", "Ag", "Ag", "O", "K", "Ag", "K", "Ag", "K", "K", "O", "K", "O", "O", "O", "K", "O", "K", "Ag", "K", "K", "O", "K", "O", "K"], "fractional_positions": [[0.116, 0.122, 0.672], [0.767, 0.537, 0.258], [0.202, 0.197, 0.852], [0.500, 0.210, 0.727], [0.384, 0.617, 0.929], [0.488, 0.204, 0.007], [0.720, 0.479, 0.492], [0.690, 0.192, 0.363], [0.734, 0.256, 0.915], [0.118, 0.896, 0.361], [0.280, 0.979, 0.008], [0.501, 0.496, 0.329], [0.616, 0.378, 0.328], [0.884, 0.887, 0.672], [0.380, 0.873, 0.565], [0.884, 0.883, 0.071], [0.500, 0.489, 0.646], [0.524, 0.777, 0.004], [0.882, 0.396, 0.139], [0.487, 0.002, 0.430], [0.266, 0.756, 0.585], [0.987, 0.498, 0.570], [0.209, 0.490, 0.991], [0.976, 0.223, 0.504], [0.618, 0.604, 0.639], [0.310, 0.692, 0.137], [0.616, 0.117, 0.571], [0.298, 0.803, 0.352], [0.844, 0.352, 0.613], [0.950, 0.251, 0.757], [0.072, 0.584, 0.369], [0.000, 0.790, 0.227], [0.499, 0.996, 0.171], [0.353, 0.360, 0.086], [0.745, 0.959, 0.261], [0.384, 0.613, 0.328], [0.116, 0.383, 0.429], [0.728, 0.237, 0.598], [0.147, 0.640, 0.586], [0.620, 0.878, 0.839], [0.733, 0.463, 0.758], [0.810, 0.808, 0.863], [0.450, 0.249, 0.243], [0.884, 0.622, 0.828], [0.513, 0.502, 0.070], [0.780, 0.521, 0.992], [0.233, 0.037, 0.242], [0.000, 0.011, 0.354], [0.880, 0.122, 0.339], [0.190, 0.308, 0.637], [0.988, 0.296, 0.993], [0.791, 0.990, 0.509], [0.380, 0.378, 0.661], [0.500, 0.710, 0.773], [0.382, 0.104, 0.861], [0.798, 0.697, 0.648], [0.120, 0.127, 0.065], [0.772, 0.763, 0.098], [0.013, 0.998, 0.930], [0.572, 0.916, 0.631], [0.228, 0.263, 0.402], [0.550, 0.749, 0.257], [0.000, 0.290, 0.273], [0.702, 0.303, 0.148], [0.024, 0.723, 0.996], [0.476, 0.277, 0.496], [0.880, 0.627, 0.435], [0.647, 0.860, 0.414], [0.766, 0.744, 0.415], [0.000, 0.511, 0.146], [0.255, 0.459, 0.239], [0.116, 0.387, 0.828], [0.500, 0.989, 0.854], [0.999, 0.504, 0.829], [0.853, 0.140, 0.914], [0.928, 0.084, 0.131], [0.272, 0.737, 0.902], [0.709, 0.010, 0.009], [0.001, 0.004, 0.671], [0.012, 0.796, 0.507], [0.291, 0.510, 0.491], [0.344, 0.148, 0.387], [0.512, 0.704, 0.493], [0.620, 0.373, 0.935], [0.156, 0.852, 0.887], [0.656, 0.648, 0.113], [0.050, 0.751, 0.743], [0.384, 0.878, 0.172], [0.755, 0.041, 0.761], [0.234, 0.244, 0.085], [0.428, 0.416, 0.869], [0.245, 0.541, 0.739], [0.616, 0.113, 0.172], [0.220, 0.021, 0.508], [0.120, 0.622, 0.161], [0.267, 0.963, 0.742]]}


{"formula": "Y6SiIr2", "functional": "PBE-GGA", "state": "relaxed", "crystal_system": "hexagonal", "e_tot_ev_per_fu": -66.858, "lattice_angstrom": [[-3.665, 0.779, 6.670], [-2.998, -4.359, -5.526], [2.157, -3.505, 1.595]], "species": ["Y", "Y", "Y", "Ir", "Si", "Ir", "Y", "Y", "Y"], "fractional_positions": [[0.590, 0.590, 0.000], [0.410, 0.000, 0.000], [0.000, 0.410, 0.000], [0.333, 0.667, 0.500], [0.000, 0.000, 0.000], [0.667, 0.333, 0.500], [0.738, 0.000, 0.500], [0.000, 0.738, 0.500], [0.262, 0.262, 0.500]]}


{"formula": "PrAuSO", "functional": "PBE-GGA", "state": "relaxed", "crystal_system": "tetragonal", "e_tot_ev_per_fu": -24.133, "lattice_angstrom": [[-4.475, 3.376, 1.139], [-0.393, -2.284, 5.229], [5.571, 6.312, 3.176]], "species": ["Au", "Pr", "Pr", "Au", "O", "O", "Pr", "Au", "S", "Pr", "S", "O", "O", "S", "Au", "S"], "fractional_positions": [[0.000, 0.750, 0.500], [0.250, 0.500, 0.864], [0.250, 0.000, 0.136], [0.500, 0.250, 0.500], [0.500, 0.250, 0.000], [0.000, 0.250, 0.000], [0.750, 0.500, 0.136], [0.500, 0.750, 0.500], [0.750, 0.500, 0.704], [0.750, 0.000, 0.864], [0.250, 0.500, 0.296], [0.500, 0.750, 0.000], [0.000, 0.750, 0.000], [0.750, 0.000, 0.296], [0.000, 0.250, 0.500], [0.250, 0.000, 0.704]]}


{"formula": "HfTlAsO", "functional": "PBE-GGA", "state": "relaxed", "crystal_system": "orthorhombic", "e_tot_ev_per_fu": -27.015, "lattice_angstrom": [[-2.484, -1.594, -2.132], [0.866, -7.868, 4.872], [-3.974, 1.661, 3.389]], "species": ["Tl", "O", "As", "Tl", "Hf", "Hf", "As", "O"], "fractional_positions": [[0.500, 0.111, 0.465], [0.500, 0.270, 0.930], [0.000, 0.641, 0.929], [0.500, 0.889, 0.965], [0.000, 0.359, 0.929], [0.000, 0.641, 0.429], [0.000, 0.359, 0.429], [0.500, 0.730, 0.430]]}


{"formula": "SmHoTlCu2", "functional": "PBE-GGA", "state": "relaxed", "crystal_system": "orthorhombic", "e_tot_ev_per_fu": -20.627, "lattice_angstrom": [[3.637, 0.000, 0.000], [0.000, 2.155, 7.050], [0.000, -2.155, 7.050]], "species": ["Cu", "Tl", "Cu", "Ho", "Sm"], "fractional_positions": [[0.500, 0.799, 0.799], [0.500, 0.998, 0.998], [0.500, 0.206, 0.206], [0.000, 0.364, 0.364], [0.000, 0.634, 0.634]]}


{"formula": "SiB2Ir2", "functional": "PBE-GGA", "state": "relaxed", "crystal_system": "tetragonal", "e_tot_ev_per_fu": -36.685, "lattice_angstrom": [[2.779, -2.779, 0.000], [2.779, 2.779, 0.000], [-2.779, 0.000, 3.756]], "species": ["Si", "B", "Ir", "B", "Ir"], "fractional_positions": [[0.000, 0.000, 0.000], [0.611, 0.611, 0.223], [0.750, 0.250, 0.500], [0.389, 0.389, 0.777], [0.250, 0.750, 0.500]]}


{"formula": "SmErBr", "functional": "PBE-GGA", "state": "relaxed", "crystal_system": "tetragonal", "e_tot_ev_per_fu": -10.894, "lattice_angstrom": [[4.613, 0.000, 0.000], [0.000, 4.613, 0.000], [0.000, 0.000, 5.589]], "species": ["Er", "Br", "Sm"], "fractional_positions": [[0.500, 0.500, 0.000], [0.500, 0.500, 0.500], [0.000, 0.000, 0.000]]}


{"formula": "Mo4BrN2Cl", "functional": "PBE-GGA", "state": "relaxed", "crystal_system": "hexagonal", "e_tot_ev_per_fu": -62.471, "lattice_angstrom": [[-0.344, -3.222, -0.358], [0.567, 1.261, 2.952], [-12.631, 1.135, 1.939]], "species": ["Mo", "Mo", "Cl", "Br", "Mo", "N", "N", "Mo"], "fractional_positions": [[0.333, 0.667, 0.824], [0.333, 0.667, 0.176], [0.333, 0.667, 0.500], [0.000, 0.000, 0.000], [0.000, 0.000, 0.328], [0.667, 0.333, 0.265], [0.667, 0.333, 0.735], [0.000, 0.000, 0.672]]}


{"formula": "TlCoMoAu", "functional": "PBE-GGA", "state": "relaxed", "crystal_system": "cubic", "e_tot_ev_per_fu": -20.809, "lattice_angstrom": [[0.000, 3.228, 3.228], [3.228, 0.000, 3.228], [3.228, 3.228, 0.000]], "species": ["Au", "Tl", "Mo", "Co"], "fractional_positions": [[0.250, 0.250, 0.250], [0.000, 0.000, 0.000], [0.500, 0.500, 0.500], [0.750, 0.750, 0.750]]}


{"formula": "BaTmRe", "functional": "PBE-GGA", "state": "relaxed", "crystal_system": "cubic", "e_tot_ev_per_fu": -13.193, "lattice_angstrom": [[0.000, 3.464, 3.464], [3.464, 0.000, 3.464], [3.464, 3.464, 0.000]], "species": ["Tm", "Re", "Ba"], "fractional_positions": [[0.750, 0.750, 0.750], [0.250, 0.250, 0.250], [0.000, 0.000, 0.000]]}


{"formula": "Tl2Co2W3", "functional": "PBE-GGA", "state": "relaxed", "crystal_system": "trigonal", "e_tot_ev_per_fu": -53.644, "lattice_angstrom": [[0.703, -0.483, 7.275], [-2.348, -3.398, 6.049], [1.916, -4.349, 5.574]], "species": ["Tl", "W", "W", "Tl", "W", "Co", "Co"], "fractional_positions": [[0.190, 0.190, 0.190], [0.920, 0.920, 0.920], [0.342, 0.342, 0.342], [0.766, 0.766, 0.766], [0.626, 0.626, 0.626], [0.493, 0.493, 0.493], [0.037, 0.037, 0.037]]}


{"formula": "TbI2F2", "functional": "PBE-GGA", "state": "relaxed", "crystal_system": "orthorhombic", "e_tot_ev_per_fu": -21.981, "lattice_angstrom": [[0.227, -7.025, 0.206], [4.647, 1.803, 4.960], [-6.879, 1.408, 0.391]], "species": ["F", "I", "I", "F", "F", "F", "Tb", "I", "Tb", "I"], "fractional_positions": [[0.306, 0.705, 0.011], [0.764, 0.264, 0.500], [0.749, 0.749, 0.000], [0.694, 0.295, 0.989], [0.694, 0.705, 0.398], [0.306, 0.295, 0.602], [0.242, 0.000, 0.242], [0.251, 0.251, 0.000], [0.758, 0.000, 0.758], [0.236, 0.736, 0.500]]}


{"formula": "Ta4AlSnN2", "functional": "PBE-GGA", "state": "relaxed", "crystal_system": "hexagonal", "e_tot_ev_per_fu": -75.615, "lattice_angstrom": [[-0.444, -2.024, -2.221], [2.463, -0.198, 1.765], [-7.332, -8.561, 9.269]], "species": ["Al", "Sn", "Ta", "Ta", "Ta", "N", "Ta", "N"], "fractional_positions": [[0.000, 0.000, 0.000], [0.667, 0.333, 0.500], [0.667, 0.333, 0.152], [0.000, 0.000, 0.335], [0.667, 0.333, 0.848], [0.333, 0.667, 0.243], [0.000, 0.000, 0.665], [0.333, 0.667, 0.757]]}


{"formula": "Si2SnIr", "functional": "PBE-GGA", "state": "relaxed", "crystal_system": "cubic", "e_tot_ev_per_fu": -22.267, "lattice_angstrom": [[0.042, -2.705, 3.690], [-3.772, -0.447, 2.551], [-2.326, -3.940, -0.025]], "species": ["Si", "Si", "Sn", "Ir"], "fractional_positions": [[0.750, 0.750, 0.750], [0.000, 0.000, 0.000], [0.500, 0.500, 0.500], [0.250, 0.250, 0.250]]}


{"formula": "LaPr2Nb2C6", "functional": "PBE-GGA", "state": "relaxed", "crystal_system": "tetragonal", "e_tot_ev_per_fu": -87.723, "lattice_angstrom": [[-10.023, 1.893, 4.920], [-11.098, 2.125, -0.753], [10.018, -4.847, -2.097]], "species": ["Pr", "Nb", "La", "Nb", "C", "Pr", "C", "C", "C", "C", "C"], "fractional_positions": [[0.187, 0.187, 0.000], [0.604, 0.604, 0.000], [0.000, 0.000, 0.000], [0.396, 0.396, 0.000], [0.920, 0.420, 0.500], [0.813, 0.813, 0.000], [0.580, 0.080, 0.500], [0.080, 0.580, 0.500], [0.420, 0.920, 0.500], [0.697, 0.697, 0.000], [0.303, 0.303, 0.000]]}


{"formula": "HfZn2Cu", "functional": "PBE-GGA", "state": "relaxed", "crystal_system": "cubic", "e_form_ev_per_atom": -0.15, "lattice_angstrom": [[0.000, 3.123, 3.123], [3.123, 0.000, 3.123], [3.123, 3.123, 0.000]], "species": ["Cu", "Zn", "Zn", "Hf"], "fractional_positions": [[0.500, 0.500, 0.500], [0.750, 0.750, 0.750], [0.000, 0.000, 0.000], [0.250, 0.250, 0.250]]}


{"formula": "Ag17Ge", "functional": "PBE-GGA", "state": "relaxed", "crystal_system": "trigonal", "e_tot_ev_per_fu": -51.254, "lattice_angstrom": [[5.848, 0.000, 0.000], [-2.924, 5.065, 0.000], [0.000, 0.000, 34.564]], "species": ["Ag", "Ag", "Ag", "Ag", "Ag", "Ag", "Ag", "Ag", "Ag", "Ag", "Ag", "Ag", "Ag", "Ag", "Ag", "Ag", "Ag", "Ge", "Ag", "Ag", "Ag", "Ag", "Ge", "Ag", "Ag", "Ag", "Ag", "Ag", "Ag", "Ag", "Ag", "Ag", "Ag", "Ag", "Ag", "Ag"], "fractional_positions": [[0.667, 0.333, 0.930], [0.667, 0.833, 0.930], [0.999, 0.499, 0.791], [0.333, 0.667, 0.070], [0.333, 0.166, 0.861], [0.333, 0.667, 0.860], [0.000, 0.000, 0.000], [0.833, 0.667, 0.070], [0.667, 0.834, 0.139], [0.667, 0.333, 0.140], [0.499, 0.501, 0.209], [0.167, 0.833, 0.721], [0.167, 0.333, 0.930], [0.333, 0.167, 0.279], [0.501, 0.499, 0.791], [0.834, 0.166, 0.861], [0.000, 0.000, 0.209], [0.333, 0.667, 0.278], [0.001, 0.501, 0.209], [0.833, 0.167, 0.279], [0.833, 0.667, 0.279], [0.167, 0.833, 0.930], [0.667, 0.333, 0.722], [0.834, 0.667, 0.861], [0.667, 0.833, 0.721], [0.500, 0.000, 0.000], [0.500, 0.500, 0.000], [0.000, 0.500, 0.000], [0.166, 0.333, 0.139], [0.166, 0.834, 0.139], [0.333, 0.167, 0.070], [0.499, 0.999, 0.209], [0.501, 0.001, 0.791], [0.833, 0.167, 0.070], [0.167, 0.333, 0.721], [0.000, 0.000, 0.791]]}